1.
This record from the Alexandria database describes Ta2CoRh after structural relaxation. The functional is PBE-GGA.

POSCAR file:
```
Ta2CoRh
1.0
1.432 0.827 8.681
-1.432 0.827 8.681
0.000 -1.654 8.681
Ta Co Rh
2 1 1
Cartesian
0.000 0.000 6.413 Ta
0.000 0.000 19.630 Ta
0.000 0.000 13.022 Co
0.000 0.000 0.000 Rh
```

Calculated values
**Final energy**: -38.175 eV/cell
**Formation energy**: 0.00 eV/atom



2.
This record from the Alexandria database describes K3In2Hg2Bi4 after structural relaxation. The functional is PBE-GGA.

POSCAR file:
```
K3In2Hg2Bi4
1.0
5.067 0.000 0.000
-2.533 4.388 0.000
0.000 0.000 18.877
K In Hg Bi
3 2 2 4
Cartesian
0.000 0.000 0.000 K
0.000 0.000 5.145 K
0.000 0.000 13.732 K
0.000 2.925 10.521 In
2.533 1.463 8.355 In
0.000 2.925 2.841 Hg
2.533 1.463 16.035 Hg
0.000 2.925 7.444 Bi
0.000 2.925 16.363 Bi
2.533 1.463 2.514 Bi
2.533 1.463 11.433 Bi
```

Calculated values
**Final energy**: -27.606 eV/cell
**Formation energy**: -0.25 eV/atom